First-principles (PBE) data for a geometry-optimized Hf2ZnCo2 structure, as listed in Alexandria.

The structure in CIF format:
```
data_Hf2ZnCo2
_chemical_formula_sum 'Hf4 Zn2 Co4'
_cell_length_a 7.4664
_cell_length_b 7.4664
_cell_length_c 2.9654
_cell_angle_alpha 90.00
_cell_angle_beta 90.00
_cell_angle_gamma 90.00
_symmetry_space_group_name_H-M 'P 1'
_symmetry_Int_Tables_number 1
_symmetry_space_group_name_Hall 'P 1'
loop_
_atom_site_label
_atom_site_type_symbol
_atom_site_fract_x
_atom_site_fract_y
_atom_site_fract_z
_atom_site_occupancy
Co1 Co 0.8624 0.3624 0.5000 1
Co2 Co 0.6376 0.8624 0.5000 1
Co3 Co 0.3624 0.1376 0.5000 1
Co4 Co 0.1376 0.6376 0.5000 1
Hf1 Hf 0.1527 0.3473 0.0000 1
Hf2 Hf 0.3473 0.8473 0.0000 1
Hf3 Hf 0.6527 0.1527 0.0000 1
Hf4 Hf 0.8473 0.6527 0.0000 1
Zn1 Zn 0.5000 0.5000 0.0000 1
Zn2 Zn 0.0000 0.0000 0.0000 1
```

**Energy of formation**: -14 kJ/mol of formula units
**Fermi-level density of states**: 11.0 states/eV/cell

***

First-principles (PBE) data for a geometry-optimized HfZn6Co6 structure, as listed in Alexandria.

The structure in CIF format:
```
data_HfZn6Co6
_chemical_formula_sum 'Hf1 Zn6 Co6'
_cell_length_a 4.8471
_cell_length_b 6.4333
_cell_length_c 6.4333
_cell_angle_alpha 81.80
_cell_angle_beta 67.87
_cell_angle_gamma 67.87
_symmetry_space_group_name_H-M 'P 1'
_symmetry_Int_Tables_number 1
_symmetry_space_group_name_Hall 'P 1'
loop_
_atom_site_label
_atom_site_type_symbol
_atom_site_fract_x
_atom_site_fract_y
_atom_site_fract_z
_atom_site_occupancy
Co1 Co 0.5000 0.2281 0.7719 1
Co2 Co 0.0000 0.5000 0.0000 1
Co3 Co 0.0000 0.0000 0.5000 1
Co4 Co 0.5000 0.5000 0.0000 1
Co5 Co 0.5000 0.0000 0.5000 1
Co6 Co 0.5000 0.7719 0.2281 1
Zn1 Zn 0.3474 0.6526 0.6526 1
Zn2 Zn 0.0000 0.3361 0.6639 1
Zn3 Zn 0.0000 0.6639 0.3361 1
Zn4 Zn 0.6526 0.3474 0.3474 1
Zn5 Zn 0.6949 0.8051 0.8051 1
Zn6 Zn 0.3051 0.1949 0.1949 1
Hf1 Hf 0.0000 0.0000 0.0000 1
```

**Energy of formation**: -93 kJ/mol of formula units
**Fermi-level density of states**: 11.7 states/eV/cell

***

First-principles (PBE) data for a geometry-optimized HfZn4Co structure, as listed in Alexandria.

The structure in CIF format:
```
data_HfZn4Co
_chemical_formula_sum 'Hf2 Zn8 Co2'
_cell_length_a 4.7800
_cell_length_b 6.2925
_cell_length_c 7.4171
_cell_angle_alpha 115.10
_cell_angle_beta 108.67
_cell_angle_gamma 90.00
_symmetry_space_group_name_H-M 'P 1'
_symmetry_Int_Tables_number 1
_symmetry_space_group_name_Hall 'P 1'
loop_
_atom_site_label
_atom_site_type_symbol
_atom_site_fract_x
_atom_site_fract_y
_atom_site_fract_z
_atom_site_occupancy
Zn1 Zn 0.6142 0.9024 0.2316 1
Zn2 Zn 0.0000 0.8172 0.0000 1
Zn3 Zn 0.8271 0.3294 0.6587 1
Zn4 Zn 0.0000 0.1828 0.0000 1
Zn5 Zn 0.3858 0.0976 0.7684 1
Zn6 Zn 0.6142 0.3292 0.2316 1
Zn7 Zn 0.1729 0.6706 0.3413 1
Zn8 Zn 0.3858 0.6708 0.7684 1
Co1 Co 0.7340 0.5007 0.0013 1
Co2 Co 0.2660 0.4993 0.9987 1
Hf1 Hf 0.2074 0.2094 0.4188 1
Hf2 Hf 0.7926 0.7906 0.5812 1
```

**Energy of formation**: 35 kJ/mol of formula units
**Fermi-level density of states**: 7.8 states/eV/cell

***

First-principles (PBE) data for a geometry-optimized HfZn2Co2 structure, as listed in Alexandria.

The structure in CIF format:
```
data_HfZn2Co2
_chemical_formula_sum 'Hf2 Zn4 Co4'
_cell_length_a 6.8377
_cell_length_b 6.8377
_cell_length_c 2.9747
_cell_angle_alpha 90.00
_cell_angle_beta 90.00
_cell_angle_gamma 90.00
_symmetry_space_group_name_H-M 'P 1'
_symmetry_Int_Tables_number 1
_symmetry_space_group_name_Hall 'P 1'
loop_
_atom_site_label
_atom_site_type_symbol
_atom_site_fract_x
_atom_site_fract_y
_atom_site_fract_z
_atom_site_occupancy
Hf1 Hf 0.5000 0.5000 0.0000 1
Hf2 Hf 0.0000 0.0000 0.0000 1
Zn1 Zn 0.1544 0.6544 0.5000 1
Zn2 Zn 0.3456 0.1544 0.5000 1
Zn3 Zn 0.8456 0.3456 0.5000 1
Zn4 Zn 0.6544 0.8456 0.5000 1
Co1 Co 0.8598 0.6402 0.0000 1
Co2 Co 0.6402 0.1402 0.0000 1
Co3 Co 0.1402 0.3598 0.0000 1
Co4 Co 0.3598 0.8598 0.0000 1
```

**Energy of formation**: -43 kJ/mol of formula units
**Fermi-level density of states**: 4.0 states/eV/cell

***

First-principles (PBE) data for a geometry-optimized Hf4ZnCo structure, as listed in Alexandria.

The structure in CIF format:
```
data_Hf4ZnCo
_chemical_formula_sum 'Hf4 Zn1 Co1'
_cell_length_a 4.3872
_cell_length_b 4.3927
_cell_length_c 7.7910
_cell_angle_alpha 124.32
_cell_angle_beta 90.00
_cell_angle_gamma 90.00
_symmetry_space_group_name_H-M 'P 1'
_symmetry_Int_Tables_number 1
_symmetry_space_group_name_Hall 'P 1'
loop_
_atom_site_label
_atom_site_type_symbol
_atom_site_fract_x
_atom_site_fract_y
_atom_site_fract_z
_atom_site_occupancy
Hf1 Hf 0.0000 0.7641 0.2641 1
Hf2 Hf 0.5000 0.7361 0.7361 1
Hf3 Hf 0.0000 0.2359 0.7359 1
Hf4 Hf 0.5000 0.2639 0.2639 1
Zn1 Zn 0.5000 0.5000 0.0000 1
Co1 Co 0.0000 0.5000 0.5000 1
```

**Energy of formation**: 55 kJ/mol of formula units
**Fermi-level density of states**: 5.2 states/eV/cell

***

First-principles (PBE) data for a geometry-optimized HfZn3Co2 structure, as listed in Alexandria.

The structure in CIF format:
```
data_HfZn3Co2
_chemical_formula_sum 'Hf2 Zn6 Co4'
_cell_length_a 4.7228
_cell_length_b 4.7228
_cell_length_c 7.8546
_cell_angle_alpha 84.35
_cell_angle_beta 84.35
_cell_angle_gamma 104.42
_symmetry_space_group_name_H-M 'P 1'
_symmetry_Int_Tables_number 1
_symmetry_space_group_name_Hall 'P 1'
loop_
_atom_site_label
_atom_site_type_symbol
_atom_site_fract_x
_atom_site_fract_y
_atom_site_fract_z
_atom_site_occupancy
Co1 Co 0.3025 0.9774 0.3800 1
Co2 Co 0.0226 0.6975 0.1200 1
Co3 Co 0.9774 0.3025 0.8800 1
Co4 Co 0.6975 0.0226 0.6200 1
Hf1 Hf 0.8520 0.1480 0.2500 1
Hf2 Hf 0.1480 0.8520 0.7500 1
Zn1 Zn 0.6190 0.8078 0.9550 1
Zn2 Zn 0.5567 0.4433 0.7500 1
Zn3 Zn 0.8078 0.6190 0.4550 1
Zn4 Zn 0.3810 0.1922 0.0450 1
Zn5 Zn 0.4433 0.5567 0.2500 1
Zn6 Zn 0.1922 0.3810 0.5450 1
```

**Energy of formation**: -70 kJ/mol of formula units
**Fermi-level density of states**: 7.5 states/eV/cell

***

First-principles (PBE) data for a geometry-optimized Hf8Zn2Co structure, as listed in Alexandria.

The structure in CIF format:
```
data_Hf8Zn2Co
_chemical_formula_sum 'Hf8 Zn2 Co1'
_cell_length_a 4.6638
_cell_length_b 5.9314
_cell_length_c 8.2114
_cell_angle_alpha 86.57
_cell_angle_beta 106.50
_cell_angle_gamma 90.00
_symmetry_space_group_name_H-M 'P 1'
_symmetry_Int_Tables_number 1
_symmetry_space_group_name_Hall 'P 1'
loop_
_atom_site_label
_atom_site_type_symbol
_atom_site_fract_x
_atom_site_fract_y
_atom_site_fract_z
_atom_site_occupancy
Zn1 Zn 0.1579 0.8463 0.3157 1
Zn2 Zn 0.8421 0.1537 0.6843 1
Hf1 Hf 0.7931 0.6029 0.5862 1
Hf2 Hf 0.0292 0.2484 0.0585 1
Hf3 Hf 0.4105 0.4313 0.8210 1
Hf4 Hf 0.3387 0.9137 0.6775 1
Hf5 Hf 0.5895 0.5687 0.1790 1
Hf6 Hf 0.9708 0.7516 0.9415 1
Hf7 Hf 0.6613 0.0863 0.3225 1
Hf8 Hf 0.2069 0.3971 0.4138 1
Co1 Co 0.5000 0.0000 0.0000 1
```

**Energy of formation**: -116 kJ/mol of formula units
**Fermi-level density of states**: 7.3 states/eV/cell

***

First-principles (PBE) data for a geometry-optimized Hf2ZnCo3 structure, as listed in Alexandria.

The structure in CIF format:
```
data_Hf2ZnCo3
_chemical_formula_sum 'Hf2 Zn1 Co3'
_cell_length_a 5.0134
_cell_length_b 5.0134
_cell_length_c 4.8440
_cell_angle_alpha 89.98
_cell_angle_beta 121.18
_cell_angle_gamma 120.01
_symmetry_space_group_name_H-M 'P 1'
_symmetry_Int_Tables_number 1
_symmetry_space_group_name_Hall 'P 1'
loop_
_atom_site_label
_atom_site_type_symbol
_atom_site_fract_x
_atom_site_fract_y
_atom_site_fract_z
_atom_site_occupancy
Co1 Co 0.5000 0.0000 0.5000 1
Co2 Co 0.0000 0.0000 0.5000 1
Co3 Co 0.5000 0.5000 0.5000 1
Hf1 Hf 0.7487 0.3742 0.1229 1
Hf2 Hf 0.2513 0.6258 0.8771 1
Zn1 Zn 0.0000 0.0000 0.0000 1
```

**Energy of formation**: -178 kJ/mol of formula units
**Fermi-level density of states**: 8.0 states/eV/cell

***

First-principles (PBE) data for a geometry-optimized Hf3Zn12Co5 structure, as listed in Alexandria.

The structure in CIF format:
```
data_Hf3Zn12Co5
_chemical_formula_sum 'Hf12 Zn48 Co20'
_cell_length_a 12.6352
_cell_length_b 12.6352
_cell_length_c 12.6352
_cell_angle_alpha 109.47
_cell_angle_beta 109.47
_cell_angle_gamma 109.47
_symmetry_space_group_name_H-M 'P 1'
_symmetry_Int_Tables_number 1
_symmetry_space_group_name_Hall 'P 1'
loop_
_atom_site_label
_atom_site_type_symbol
_atom_site_fract_x
_atom_site_fract_y
_atom_site_fract_z
_atom_site_occupancy
Zn1 Zn 0.0951 0.9242 0.3845 1
Zn2 Zn 0.6709 0.4603 0.5758 1
Zn3 Zn 0.9049 0.8291 0.7894 1
Zn4 Zn 0.3845 0.4242 0.0951 1
Zn5 Zn 0.3291 0.7894 0.4049 1
Zn6 Zn 0.8845 0.2894 0.4603 1
Zn7 Zn 0.0758 0.9049 0.1155 1
Zn8 Zn 0.5951 0.7106 0.6709 1
Zn9 Zn 0.9603 0.3845 0.2894 1
Zn10 Zn 0.5951 0.8845 0.4242 1
Zn11 Zn 0.6155 0.5758 0.9049 1
Zn12 Zn 0.8291 0.9242 0.0397 1
Zn13 Zn 0.5397 0.3291 0.9242 1
Zn14 Zn 0.0397 0.6155 0.7106 1
Zn15 Zn 0.1155 0.7106 0.5397 1
Zn16 Zn 0.7106 0.1155 0.0397 1
Zn17 Zn 0.5758 0.9603 0.6709 1
Zn18 Zn 0.9242 0.8291 0.5397 1
Zn19 Zn 0.9603 0.5758 0.1709 1
Zn20 Zn 0.1709 0.0758 0.9603 1
Zn21 Zn 0.7106 0.5951 0.1709 1
Zn22 Zn 0.0951 0.1709 0.2106 1
Zn23 Zn 0.8291 0.9049 0.2894 1
Zn24 Zn 0.2894 0.4049 0.8291 1
Zn25 Zn 0.5397 0.2106 0.1155 1
Zn26 Zn 0.7894 0.3291 0.9049 1
Zn27 Zn 0.2894 0.8845 0.9603 1
Zn28 Zn 0.1155 0.4049 0.0758 1
Zn29 Zn 0.2106 0.5397 0.6155 1
Zn30 Zn 0.4049 0.1155 0.5758 1
Zn31 Zn 0.2106 0.6709 0.0951 1
Zn32 Zn 0.1709 0.0951 0.7106 1
Zn33 Zn 0.9049 0.0758 0.6155 1
Zn34 Zn 0.0758 0.1709 0.4603 1
Zn35 Zn 0.9242 0.0951 0.8845 1
Zn36 Zn 0.5758 0.6155 0.4049 1
Zn37 Zn 0.4603 0.7894 0.8845 1
Zn38 Zn 0.4049 0.2894 0.3291 1
Zn39 Zn 0.4603 0.6709 0.0758 1
Zn40 Zn 0.6155 0.0397 0.2106 1
Zn41 Zn 0.3291 0.5397 0.4242 1
Zn42 Zn 0.0397 0.4242 0.8291 1
Zn43 Zn 0.4242 0.3845 0.5951 1
Zn44 Zn 0.4242 0.0397 0.3291 1
Zn45 Zn 0.3845 0.9603 0.7894 1
Zn46 Zn 0.8845 0.5951 0.9242 1
Zn47 Zn 0.6709 0.2106 0.5951 1
Zn48 Zn 0.7894 0.4603 0.3845 1
Hf1 Hf 0.8750 0.1250 0.2500 1
Hf2 Hf 0.6250 0.2500 0.3750 1
Hf3 Hf 0.2500 0.1250 0.3750 1
Hf4 Hf 0.6250 0.3750 0.7500 1
Hf5 Hf 0.3750 0.7500 0.6250 1
Hf6 Hf 0.1250 0.8750 0.7500 1
Hf7 Hf 0.1250 0.2500 0.8750 1
Hf8 Hf 0.7500 0.8750 0.6250 1
Hf9 Hf 0.7500 0.3750 0.1250 1
Hf10 Hf 0.3750 0.6250 0.2500 1
Hf11 Hf 0.2500 0.6250 0.8750 1
Hf12 Hf 0.8750 0.7500 0.1250 1
Co1 Co 0.3750 0.2500 0.1250 1
Co2 Co 0.8750 0.2500 0.6250 1
Co3 Co 0.1250 0.3750 0.2500 1
Co4 Co 0.3750 0.1250 0.7500 1
Co5 Co 0.0000 0.0000 0.0000 1
Co6 Co 0.8750 0.6250 0.7500 1
Co7 Co 0.0000 0.0000 0.5000 1
Co8 Co 0.6250 0.8750 0.2500 1
Co9 Co 0.0000 0.5000 0.0000 1
Co10 Co 0.5000 0.5000 0.5000 1
Co11 Co 0.6250 0.7500 0.8750 1
Co12 Co 0.0000 0.5000 0.5000 1
Co13 Co 0.7500 0.6250 0.3750 1
Co14 Co 0.2500 0.3750 0.6250 1
Co15 Co 0.7500 0.1250 0.8750 1
Co16 Co 0.2500 0.8750 0.1250 1
Co17 Co 0.5000 0.5000 0.0000 1
Co18 Co 0.5000 0.0000 0.0000 1
Co19 Co 0.5000 0.0000 0.5000 1
Co20 Co 0.1250 0.7500 0.3750 1
```

**Energy of formation**: 1405 kJ/mol of formula units
**Fermi-level density of states**: 102.9 states/eV/cell